## Tm4CuSbC2 (GGA-PBE)

Data for a geometry-optimized Tm4CuSbC2 structure.

The value obtained for the total moment is 0.0 μB/f.u. The value obtained for the energy is -5.978 eV per atom.

The space group is P-6m2 (No. 187) and the conventional cell measures 3.5932, 3.5932 and 14.1762 Å, with angles of 90.00, 90.00 and 120.00 degrees. Symmetry generates all atoms from Tm at (0.0000, 0.0000, 0.1435), Tm at (0.6667, 0.3333, 0.3273), Cu at (0.6667, 0.3333, 0.0000), Sb at (0.0000, 0.0000, 0.5000) and C at (0.3333, 0.6667, 0.2367).